VASP calculation (PBE) on a relaxed structure of VSnAuBr.

extended XYZ file:
```
8
Lattice="9.727 0.000 -0.110 0.000 3.466 0.000 -1.111 0.000 5.716" Properties=species:S:1:pos:R:3 pbc="T T T"
Au 5.010 0.000 -0.023
Au 4.455 1.733 2.835
Sn 6.479 0.000 4.174
Sn 7.034 1.733 1.316
Br 1.228 0.000 1.173
Br 0.672 1.733 4.031
V 2.450 0.000 3.408
V 3.006 1.733 0.550
```

Summary:
The calculation puts the spin magnetization at 0.5286 μB/atom. The formation energy from raw total energies comes out at -0.11 eV/atom. The calculation puts the density of states at the Fermi level at 4.3 states/eV/f.u. For the offset from the most stable computed form, the calculation gives 0.011 eV/atom.